The following is a DFT calculation (GGA-PBEsol) of Li3Co2SnO6 after structural relaxation.

Cell: 2.980 5.962 6.649 Å, 104.60 102.95 90.00°
Fractional positions:
1 O 0.835 0.916 0.671
2 O 0.836 0.394 0.672
3 O 0.164 0.606 0.328
4 O 0.165 0.084 0.329
5 O 0.497 0.256 0.993
6 O 0.503 0.744 0.007
7 Li 0.325 0.664 0.650
8 Li 0.000 0.000 0.000
9 Li 0.675 0.336 0.350
10 Sn 0.000 0.500 0.000
11 Co 0.681 0.864 0.361
12 Co 0.319 0.136 0.639

Properties
- SG = C2/m (12)

The following is a DFT calculation (GGA-PBEsol) of Li3Co4SnO8 after structural relaxation.

Cell: 5.814 5.814 5.864 Å, 118.19 92.29 118.90°
Fractional positions:
1 Co 0.000 0.500 0.500
2 Co 0.500 0.500 0.500
3 Co 0.000 0.000 0.000
4 Co 0.000 0.000 0.500
5 O 0.227 0.003 0.759
6 O 0.242 0.048 0.290
7 O 0.757 0.532 0.759
8 O 0.249 0.528 0.777
9 O 0.758 0.952 0.710
10 O 0.773 0.997 0.241
11 O 0.751 0.472 0.223
12 O 0.243 0.468 0.241
13 Li 0.000 0.500 0.000
14 Li 0.500 0.000 0.000
15 Li 0.500 0.000 0.500
16 Sn 0.500 0.500 0.000

Properties
- SG = C2/m (12)

The following is a DFT calculation (GGA-PBEsol) of LiCoSnO4 after structural relaxation.

Cell: 5.863 5.917 5.917 Å, 63.96 60.30 60.30°
Fractional positions:
1 O 0.742 0.765 0.265
2 O 0.250 0.197 0.303
3 O 0.227 0.765 0.265
4 O 0.750 0.197 0.303
5 O 0.258 0.235 0.735
6 O 0.750 0.803 0.697
7 O 0.773 0.235 0.735
8 O 0.250 0.803 0.697
9 Sn 0.000 0.500 0.500
10 Sn 0.000 0.000 0.000
11 Li 0.500 0.000 0.000
12 Li 0.500 0.500 0.500
13 Co 0.500 0.000 0.500
14 Co 0.000 0.000 0.500

Properties
- polymorph energy (0 for the lowest one) (meV per atom) = 32
- SG = Imma (74)

The following is a DFT calculation (GGA-PBEsol) of LiCoSnO4 after structural relaxation.

Cell: 5.771 5.942 5.942 Å, 116.95 119.05 60.95°
Fractional positions:
1 Sn 0.500 0.500 0.000
2 Sn 0.500 0.000 0.500
3 Li 0.121 0.129 0.871
4 Li 0.879 0.871 0.129
5 O 0.747 0.710 0.703
6 O 0.253 0.290 0.297
7 O 0.242 0.268 0.732
8 O 0.758 0.732 0.268
9 O 0.278 0.732 0.268
10 O 0.253 0.703 0.710
11 O 0.722 0.268 0.732
12 O 0.747 0.297 0.290
13 Co 0.500 0.500 0.500
14 Co 0.000 0.500 0.500

Properties
- polymorph energy (0 for the lowest one) (meV per atom) = 0
- SG = Imma (74)

The following is a DFT calculation (GGA-PBEsol) of Li2Co2SnO6 after structural relaxation.

Cell: 5.078 5.078 9.826 Å, 90.00 90.00 120.29°
Fractional positions:
1 Co 0.664 0.336 0.000
2 Co 0.836 0.164 0.500
3 Co 0.336 0.664 0.000
4 Co 0.164 0.836 0.500
5 Sn 0.000 0.000 0.000
6 Sn 0.500 0.500 0.500
7 O 0.645 0.645 0.101
8 O 0.996 0.356 0.105
9 O 0.145 0.145 0.399
10 O 0.855 0.855 0.601
11 O 0.504 0.144 0.605
12 O 0.496 0.856 0.395
13 O 0.004 0.644 0.895
14 O 0.356 0.996 0.105
15 O 0.144 0.504 0.605
16 O 0.856 0.496 0.395
17 O 0.355 0.355 0.899
18 O 0.644 0.004 0.895
19 Li 0.173 0.673 0.250
20 Li 0.327 0.827 0.750
21 Li 0.827 0.327 0.750
22 Li 0.673 0.173 0.250

Properties
- SG = Cmce (64)

The following is a DFT calculation (GGA-PBEsol) of Li4Ti2Co3Sn3O16 after structural relaxation.

Cell: 5.924 5.924 9.377 Å, 91.47 91.47 60.60°
Fractional positions:
1 O 0.516 0.516 0.652
2 O 0.163 0.163 0.917
3 O 0.483 0.483 0.167
4 O 0.346 0.346 0.389
5 O 0.493 0.044 0.156
6 O 0.529 0.962 0.656
7 O 0.962 0.529 0.656
8 O 0.987 0.987 0.196
9 O 0.678 0.678 0.903
10 O 0.825 0.331 0.406
11 O 0.331 0.825 0.406
12 O 0.044 0.493 0.156
13 O 0.826 0.826 0.393
14 O 0.989 0.989 0.685
15 O 0.164 0.661 0.903
16 O 0.661 0.164 0.903
17 Li 0.678 0.678 0.115
18 Li 0.337 0.337 0.598
19 Li 0.969 0.969 0.011
20 Li 0.985 0.985 0.495
21 Sn 0.339 0.833 0.786
22 Sn 0.169 0.169 0.284
23 Sn 0.833 0.339 0.786
24 Ti 0.674 0.674 0.497
25 Ti 0.349 0.349 0.017
26 Co 0.173 0.659 0.286
27 Co 0.830 0.830 0.785
28 Co 0.659 0.173 0.286

Properties
- SG = Cm (8)

The following is a DFT calculation (GGA-PBEsol) of Li4V3Co3Sn2O16 after structural relaxation.

Cell: 5.699 5.744 9.644 Å, 89.99 90.21 59.74°
Fractional positions:
1 O 0.486 0.484 0.335
2 O 0.034 0.483 0.327
3 O 0.007 0.997 0.306
4 O 0.843 0.844 0.107
5 O 0.001 0.000 0.803
6 O 0.666 0.667 0.596
7 O 0.153 0.164 0.605
8 O 0.843 0.312 0.107
9 O 0.153 0.683 0.605
10 O 0.315 0.843 0.106
11 O 0.330 0.335 0.107
12 O 0.519 0.968 0.837
13 O 0.973 0.514 0.841
14 O 0.519 0.513 0.837
15 O 0.676 0.162 0.604
16 O 0.485 0.030 0.335
17 Sn 0.324 0.338 0.490
18 Sn 0.666 0.667 0.998
19 V 0.820 0.356 0.714
20 V 0.654 0.173 0.215
21 V 0.821 0.824 0.714
22 Li 0.335 0.333 0.901
23 Li 0.009 0.996 0.992
24 Li 0.006 0.997 0.494
25 Li 0.667 0.667 0.389
26 Co 0.175 0.166 0.215
27 Co 0.175 0.658 0.215
28 Co 0.346 0.827 0.714

Properties
- SG = Cm (8)

The following is a DFT calculation (GGA-PBEsol) of Li4Ti3Co3Te2O16 after structural relaxation.

Cell: 5.849 5.768 10.085 Å, 90.05 90.00 120.46°
Fractional positions:
1 O 0.669 0.825 0.607
2 O 0.525 0.494 0.847
3 O 0.668 0.337 0.604
4 O 0.016 0.513 0.319
5 O 0.969 0.494 0.847
6 O 0.006 0.013 0.306
7 O 0.863 0.175 0.102
8 O 0.157 0.825 0.607
9 O 0.160 0.321 0.605
10 O 0.512 0.023 0.844
11 O 0.312 0.175 0.102
12 O 0.497 0.513 0.319
13 O 0.005 0.010 0.797
14 O 0.490 0.980 0.316
15 O 0.848 0.696 0.093
16 O 0.339 0.677 0.103
17 Li 0.329 0.659 0.905
18 Li 0.011 0.021 0.982
19 Li 0.664 0.328 0.397
20 Li 0.001 0.001 0.497
21 Ti 0.655 0.822 0.216
22 Ti 0.166 0.822 0.216
23 Ti 0.821 0.641 0.726
24 Te 0.664 0.328 0.993
25 Te 0.328 0.655 0.508
26 Co 0.810 0.169 0.719
27 Co 0.358 0.169 0.719
28 Co 0.174 0.348 0.209

Properties
- SG = Cm (8)

no.,final energy (hartree per atom),raw formation energy (eV per atom)
1,-0.2298,-1.49
2,-0.2361,-1.23
3,-0.2393,-1.52
4,-0.2405,-1.55
5,-0.2389,-1.49
6,-0.2574,-1.85
7,-0.2675,-1.83
8,-0.2617,-1.87